# Mn2CoO6 (GGA+U, relaxed)
# calculated total energy	-119.36	eV per cell
# ρ	4.017	g/cm3
# polymorph energy (0 for the lowest one)	0	meV per atom
data_Mn2CoO6
_cell_length_a 13.006
_cell_length_b 2.908
_cell_length_c 6.036
_cell_angle_alpha 90.00
_cell_angle_beta 106.45
_cell_angle_gamma 90.00
_space_group_name_H-M_alt 'C 1 2/m 1'
_space_group_IT_number 12
loop_
_space_group_symop_operation_xyz
'x,y,z'
'-x,-y,-z'
'-x,y,-z'
'x,-y,z'
'x+1/2,y+1/2,z'
'-x+1/2,-y+1/2,-z'
'-x+1/2,y+1/2,-z'
'x+1/2,-y+1/2,z'
loop_
_atom_site_label
_atom_site_type_symbol
_atom_site_fract_x
_atom_site_fract_y
_atom_site_fract_z
_atom_site_occupancy
Mn1 Mn 0.165 0.000 0.331 1
Co1 Co 0.000 0.500 0.000 1
O1 O 0.011 0.000 0.210 1
O2 O 0.151 0.500 0.113 1
O3 O 0.179 0.500 0.550 1